## i
Compound: LiCaV
Source: Alexandria
Functional: PBE-GGA
Structure: relaxed

Structure (extended XYZ):
```
6
Lattice="4.960 0.000 0.000 -2.480 4.295 0.000 0.000 0.000 11.664" Properties=species:S:1:pos:R:3 pbc="T T T"
Li 0.000 2.864 2.916
Li 2.480 1.432 8.748
Ca 0.000 0.000 2.916
Ca 0.000 0.000 8.748
V 0.000 0.000 0.000
V 0.000 0.000 5.832
```

---

## ii
Compound: LiCaV
Source: Alexandria
Functional: PBE-GGA
Structure: relaxed

Structure (extended XYZ):
```
6
Lattice="3.881 0.000 0.000 0.000 3.881 0.000 0.000 0.000 8.512" Properties=species:S:1:pos:R:3 pbc="T T T"
Li 0.970 0.970 1.835
Li 2.911 2.911 6.677
Ca 0.970 2.911 4.256
Ca 2.911 0.970 4.256
V 0.970 0.970 7.942
V 2.911 2.911 0.570
```

---

## iii
Compound: LiCaV
Source: Alexandria
Functional: PBE-GGA
Structure: relaxed

Structure (extended XYZ):
```
6
Lattice="3.322 0.000 0.000 0.000 3.322 0.000 -0.014 0.000 12.447" Properties=species:S:1:pos:R:3 pbc="T T T"
Li 0.830 0.831 0.911
Li 2.478 2.492 11.536
Ca 0.825 0.831 8.917
Ca 2.482 2.492 3.530
V 0.823 0.831 5.784
V 2.485 2.492 6.663
```

---

Most stable structure among those shown: iii.